Record 1
Material: DyHfTl
Method: DFT, GGA-PBE
State: relaxed

Summary:
- Total energy: -63.42 eV/cell
- E above lowest polymorph: 358 meV/atom
- Total magnetization: 3.10 μB/cell

Cell lengths 7.0060, 7.0060, 7.0060 Å; angles 90.00, 90.00, 90.00 degrees
Closest atoms and distances in Å follow each position.
Space group F-43m (No. 216)
Inequivalent atoms, fractional coordinates:
Dy (0.0000, 0.0000, 0.0000) x4  4 Tl 3.03
Hf (0.0000, 0.0000, 0.5000) x4  4 Tl 3.03
Tl (0.2500, 0.2500, 0.2500) x4  4 Hf 3.03, 4 Dy 3.03

Record 2
Material: DyHfZr
Method: DFT, GGA-PBE
State: relaxed

Summary:
- Total energy: -81.56 eV/cell
- Formation energy: 0.905 eV per atom
- Total magnetization: 6.38 μB/cell

Cell lengths 7.0388, 7.0388, 7.0388 Å; angles 90.00, 90.00, 90.00 degrees
Closest atoms and distances in Å follow each position.
Space group F-43m (No. 216)
Inequivalent atoms, fractional coordinates:
Dy (0.0000, 0.0000, 0.0000) x4  4 Hf 3.05
Hf (0.2500, 0.2500, 0.2500) x4  4 Zr 3.05, 4 Dy 3.05
Zr (0.0000, 0.0000, 0.5000) x4  4 Hf 3.05

Copy entry 2 word for word.
Material: DyHfZr
Method: DFT, GGA-PBE
State: relaxed

Summary:
- Total energy: -81.56 eV/cell
- Formation energy: 0.905 eV per atom
- Total magnetization: 6.38 μB/cell

Cell lengths 7.0388, 7.0388, 7.0388 Å; angles 90.00, 90.00, 90.00 degrees
Closest atoms and distances in Å follow each position.
Space group F-43m (No. 216)
Inequivalent atoms, fractional coordinates:
Dy (0.0000, 0.0000, 0.0000) x4  4 Hf 3.05
Hf (0.2500, 0.2500, 0.2500) x4  4 Zr 3.05, 4 Dy 3.05
Zr (0.0000, 0.0000, 0.5000) x4  4 Hf 3.05

Among the records above, which one has the highest total energy?
DyHfTl

What is the formula in the second record?
DyHfZr

Which value of total magnetization does entry 1 give?
3.10 μB/cell